# MnTlF3 PBE with a Hubbard U optimized geometry
# Density of states at the Fermi level ... 0.000 states/eV/atom
# Final energy ... -26.70 eV/f.u.
# Volume ... 194.2 Å³ per cell
data_MnTlF3
_symmetry_space_group_name_H-M 'P 1'
_symmetry_Int_Tables_number 1
_symmetry_space_group_name_Hall 'P 1'
_cell_length_a 7.890
_cell_length_b 7.890
_cell_length_c 7.891
_cell_angle_alpha 106.98
_cell_angle_beta 106.98
_cell_angle_gamma 24.47
loop_
_atom_site_label
_atom_site_type_symbol
_atom_site_fract_x
_atom_site_fract_y
_atom_site_fract_z
Mn1 Mn 0.162 0.162 0.338
Mn2 Mn 0.838 0.838 0.662
Tl1 Tl 0.381 0.381 0.130
Tl2 Tl 0.619 0.619 0.870
F1 F 0.205 0.205 0.109
F2 F 0.312 0.312 0.467
F3 F 0.421 0.421 0.787
F4 F 0.579 0.579 0.213
F5 F 0.688 0.688 0.533
F6 F 0.795 0.795 0.891